# 1
Here is a relaxed PrNi4Rh crystal from the Alexandria database. Energies are from PBE.

Cell: 4.961 4.961 4.961 Å, 60.00 60.00 60.00°
Fractional coordinates of all 6 atoms:
Pr 0.000 0.000 0.000
Ni 0.623 0.623 0.130
Ni 0.623 0.623 0.623
Ni 0.623 0.130 0.623
Ni 0.130 0.623 0.623
Rh 0.250 0.250 0.250

## Properties
D(E_F) = 1.64 states/eV/atom
space group = No. 216
DFT formation energy = -2.95 kcal/mol of atoms
ΔE to the lowest computed polymorph = 0.00 kcal/mol of atoms

# 2
Here is a relaxed VMo2I crystal from the Alexandria database. Energies are from PBE.

Cell: 4.549 4.549 4.549 Å, 60.00 60.00 60.00°
Fractional coordinates of all 4 atoms:
Mo 0.250 0.250 0.250
Mo 0.750 0.750 0.750
V 0.000 0.000 0.000
I 0.500 0.500 0.500

## Properties
formation energy without anion corrections = 0.7985 eV/atom
D(E_F) = 1.44 states/eV/atom
space group = No. 225
ΔE to the lowest computed polymorph = 0.00 kcal/mol of atoms

# 3
Here is a relaxed Ho4SnTe2Pb crystal from the Alexandria database. Energies are from PBE.

Cell: 4.389 7.617 7.600 Å, 70.60 90.00 90.00°
Fractional coordinates of all 8 atoms:
Ho 0.000 0.262 0.248
Ho 0.500 0.737 0.257
Ho 0.000 0.738 0.752
Ho 0.500 0.263 0.743
Te 0.000 0.000 0.000
Te 0.500 0.000 0.500
Pb 0.500 0.500 0.000
Sn 0.000 0.500 0.500

## Properties
formation energy without anion corrections = -0.9620 eV/atom
D(E_F) = 0.26 states/eV/atom
space group = No. 10

# 4
Here is a relaxed CsI2BrO crystal from the Alexandria database. Energies are from PBE.

Cell: 6.496 6.496 4.127 Å, 90.00 90.00 90.00°
Fractional coordinates of all 5 atoms:
Br 0.000 0.000 0.000
O 0.000 0.000 0.500
I 0.000 0.500 0.000
I 0.500 0.000 0.000
Cs 0.500 0.500 0.500

## Properties
formation energy without anion corrections = -0.2058 eV/atom
D(E_F) = 1.06 states/eV/atom
space group = No. 123
ΔE to the lowest computed polymorph = 0.00 kcal/mol of atoms

| no. | M_tot (μB/f.u.) |
| --- | --- |
| 1 | 1.43 |
| 2 | 0.54 |
| 3 | 0.00 |
| 4 | 0.00 |